VASP calculation (PBE) on an optimized crystal structure of NdYTlAu.

Summary:
Energy relative to the elements   -0.5515 eV per atom
Space group   F-43m, No. 216
VASP energy   -4.770 eV/atom

Structure (POSCAR):
```
NdYTlAu
1.0
0.000 3.771 3.771
3.771 0.000 3.771
3.771 3.771 0.000
Nd Y Tl Au
1 1 1 1
direct
0.000 0.000 0.000
0.500 0.500 0.500
0.750 0.750 0.750
0.250 0.250 0.250
```

---

VASP calculation (PBE) on an optimized crystal structure of Ac4Ge2S.

Summary:
Space group   Fdd2, No. 43
VASP energy   -5.231 eV/atom
ΔE_f (raw)   -974 meV per atom

Structure (POSCAR):
```
Ac4Ge2S
1.0
0.000 6.868 5.013
6.577 0.000 5.013
6.577 6.868 0.000
Ac Ge S
8 4 2
direct
0.070 0.201 0.060
0.190 0.581 0.180
0.201 0.070 0.669
0.299 0.701 0.426
0.581 0.190 0.049
0.676 0.824 0.549
0.701 0.299 0.574
0.824 0.676 0.951
0.321 0.574 0.794
0.456 0.938 0.929
0.574 0.321 0.312
0.938 0.456 0.676
0.129 0.129 0.371
0.879 0.879 0.121
```

---

VASP calculation (PBE) on an optimized crystal structure of Co2NiP.

Summary:
Energy relative to the elements   -0.2117 eV per atom
Space group   P4/mmm, No. 123
VASP energy   -6.562 eV/atom

Structure (POSCAR):
```
Co2NiP
1.0
3.512 0.000 0.000
0.000 3.512 0.000
0.000 0.000 3.372
Co Ni P
2 1 1
direct
0.000 0.500 0.000
0.500 0.000 0.000
0.000 0.000 0.500
0.500 0.500 0.500
```

---

VASP calculation (PBE) on an optimized crystal structure of LaSmTl2S4.

Summary:
Space group   P2/m, No. 10
VASP energy   -5.357 eV/atom
ΔE_f (raw)   -1496 meV per atom

Structure (POSCAR):
```
LaSmTl2S4
1.0
7.286 0.000 0.000
0.000 4.205 0.000
-2.426 0.000 7.472
La Sm Tl S
1 1 2 4
direct
0.000 0.000 0.000
0.500 0.500 0.000
0.000 0.500 0.500
0.500 0.000 0.500
0.241 0.500 0.204
0.272 0.000 0.798
0.728 0.000 0.202
0.759 0.500 0.796
```